[1]
The following is a DFT calculation (PBE-GGA) of a relaxed structure of BaNiSb.

POSCAR file:
```
BaNiSb
1.0
4.650 0.000 0.000
-0.003 4.653 0.000
-0.102 -0.108 7.647
Ba Ni Sb
2 2 2
direct
0.248 0.248 0.186 Ba
0.752 0.752 0.814 Ba
0.271 0.728 0.500 Ni
0.729 0.272 0.500 Ni
0.240 0.239 0.663 Sb
0.760 0.761 0.337 Sb
```

## Properties
Its crystal system is triclinic. As for the uncorrected formation energy: -55 kJ per mole of atoms. The magnetic moment comes out at 0.00 Bohr magnetons per cell.

***

[2]
The following is a DFT calculation (PBE-GGA) of a relaxed structure of MgCuCl.

POSCAR file:
```
MgCuCl
1.0
3.136 0.000 0.000
0.000 3.136 0.000
0.000 0.000 12.608
Mg Cu Cl
2 2 2
direct
0.000 0.000 0.000 Mg
0.500 0.500 0.500 Mg
0.000 0.000 0.369 Cu
0.500 0.500 0.869 Cu
0.000 0.000 0.617 Cl
0.500 0.500 0.117 Cl
```

## Properties
Its crystal system is tetragonal. As for the uncorrected formation energy: -37 kJ per mole of atoms. The excess energy over the best structure of this formula in the dataset comes out at 87 meV/atom. The magnetic moment comes out at 0.00 Bohr magnetons per cell.

***

Which value of magnetic moment does entry 1 give? 0.00 Bohr magnetons per cell

***

Which formula does entry 2 have? MgCuCl

***

magnetic moment of number 1 (BaNiSb)? 0.00 Bohr magnetons per cell